{
  "formula": "GdZrHg2",
  "functional": "PBE",
  "state": "relaxed",
  "cell": [[3.357, 0.000, 0.000], [0.000, 3.357, 0.000], [0.000, 0.000, 8.413]],
  "species": ["Gd", "Zr", "Hg", "Hg"],
  "frac_coords": [[0.000, 0.000, 0.000], [0.000, 0.000, 0.500], [0.500, 0.500, 0.264], [0.500, 0.500, 0.736]],
  "relative_energy_mev_per_atom": 0,
  "formation_energy_ev_per_fu": -1.12,
  "space_group": "P4/mmm, No. 123",
  "m_tot_mub_per_atom": 1.8754,
  "n_ef_per_ev_cell": 3.34,
  "dft_energy_ev_per_atom": -6.0875,
  "volume_a3_per_cell": 95
}